Record 1
A relaxed GeSCl2F crystal, computed with GGA-PBE.

The structure in CIF format:
```
data_GeSCl2F
_chemical_formula_sum 'Ge1 S1 Cl2 F1'
_cell_length_a 4.618
_cell_length_b 4.618
_cell_length_c 5.309
_cell_angle_alpha 90.00
_cell_angle_beta 90.00
_cell_angle_gamma 90.00
_space_group_name_H-M_alt 'P 4/m m m'
_space_group_IT_number 123
_space_group_name_Hall '-P 4 2'
loop_
_atom_site_label
_atom_site_fract_x
_atom_site_fract_y
_atom_site_fract_z
Ge1 0.000 0.000 0.000
S1 0.000 0.000 0.500
Cl1 0.000 0.500 0.500
F1 0.500 0.500 0.000
```

Properties
energy above the most stable polymorph in this dataset	0.000	eV per atom

---

Record 2
A relaxed Sc2GeClF crystal, computed with GGA-PBE.

The structure in CIF format:
```
data_Sc2GeClF
_chemical_formula_sum 'Sc2 Ge1 Cl1 F1'
_cell_length_a 4.861
_cell_length_b 4.861
_cell_length_c 4.722
_cell_angle_alpha 90.00
_cell_angle_beta 90.00
_cell_angle_gamma 90.00
_space_group_name_H-M_alt 'P 4/m m m'
_space_group_IT_number 123
_space_group_name_Hall '-P 4 2'
loop_
_atom_site_label
_atom_site_fract_x
_atom_site_fract_y
_atom_site_fract_z
Sc1 0.000 0.500 0.000
Ge1 0.000 0.000 0.500
Cl1 0.000 0.000 0.000
F1 0.500 0.500 0.500
```

---

Per-record magnetic moment, μB per cell: 0.0 1.2
Per-record formation energy from raw total energies, eV/atom: -0.013 -0.215